Entry from Alexandria via LeMat-Bulk: an optimized crystal structure of NaFe3P2H8O14 (PBE+U).

Cell lengths 7.171, 7.171, 19.393 Å; angles 90.00, 90.00, 90.00 degrees
Each line ends with the local moment (μB).
Element x y z (fractional)
Na: 0.871 0.129 0.250  0.00
Na: 0.129 0.871 0.750  0.00
Na: 0.629 0.629 0.000  0.00
Na: 0.371 0.371 0.500  0.00
Fe: 0.887 0.391 0.494  -1.09
Fe: 0.113 0.609 0.994  -1.09
Fe: 0.891 0.613 0.244  -1.09
Fe: 0.109 0.387 0.744  -1.09
Fe: 0.609 0.113 0.006  -1.09
Fe: 0.391 0.887 0.506  -1.09
Fe: 0.613 0.891 0.756  -1.09
Fe: 0.387 0.109 0.256  -1.09
Fe: 0.607 0.393 0.750  -1.08
Fe: 0.393 0.607 0.250  -1.08
Fe: 0.893 0.893 0.500  -1.08
Fe: 0.107 0.107 0.000  -1.08
P: 0.637 0.130 0.400  0.00
P: 0.363 0.870 0.900  0.00
P: 0.630 0.863 0.150  0.00
P: 0.370 0.137 0.650  0.00
P: 0.870 0.363 0.100  0.00
P: 0.130 0.637 0.600  0.00
P: 0.863 0.630 0.850  0.00
P: 0.137 0.370 0.350  0.00
H: 0.593 0.144 0.838  0.00
H: 0.407 0.856 0.338  0.00
H: 0.644 0.907 0.588  0.00
H: 0.356 0.093 0.088  0.00
H: 0.856 0.407 0.662  0.00
H: 0.144 0.593 0.162  0.00
H: 0.907 0.644 0.412  0.00
H: 0.093 0.356 0.912  0.00
H: 0.621 0.396 0.599  0.00
H: 0.379 0.604 0.099  0.00
H: 0.896 0.879 0.349  0.00
H: 0.104 0.121 0.849  0.00
H: 0.604 0.379 0.901  0.00
H: 0.396 0.621 0.401  0.00
H: 0.879 0.896 0.651  0.00
H: 0.121 0.104 0.151  0.00
H: 0.655 0.602 0.562  0.00
H: 0.345 0.398 0.062  0.00
H: 0.102 0.845 0.312  0.00
H: 0.898 0.155 0.812  0.00
H: 0.398 0.345 0.938  0.00
H: 0.602 0.655 0.438  0.00
H: 0.845 0.102 0.688  0.00
H: 0.155 0.898 0.188  0.00
H: 0.012 0.152 0.567  0.00
H: 0.988 0.848 0.067  0.00
H: 0.652 0.488 0.317  0.00
H: 0.348 0.512 0.817  0.00
H: 0.848 0.988 0.933  0.00
H: 0.152 0.012 0.433  0.00
H: 0.488 0.652 0.683  0.00
H: 0.512 0.348 0.183  0.00
O: 0.455 0.069 0.436  0.01
O: 0.545 0.931 0.936  0.01
O: 0.569 0.045 0.186  0.01
O: 0.431 0.955 0.686  0.01
O: 0.931 0.545 0.064  0.01
O: 0.069 0.455 0.564  0.01
O: 0.045 0.569 0.814  0.01
O: 0.955 0.431 0.314  0.01
O: 0.797 0.985 0.410  0.02
O: 0.203 0.015 0.910  0.02
O: 0.485 0.703 0.160  0.02
O: 0.515 0.297 0.660  0.02
O: 0.015 0.203 0.090  0.02
O: 0.985 0.797 0.590  0.02
O: 0.703 0.485 0.840  0.02
O: 0.297 0.515 0.340  0.02
O: 0.693 0.322 0.429  0.01
O: 0.307 0.678 0.929  0.01
O: 0.822 0.807 0.179  0.01
O: 0.178 0.193 0.679  0.01
O: 0.678 0.307 0.071  0.01
O: 0.322 0.693 0.571  0.01
O: 0.807 0.822 0.821  0.01
O: 0.193 0.178 0.321  0.01
O: 0.600 0.153 0.321  0.03
O: 0.400 0.847 0.821  0.03
O: 0.653 0.900 0.071  0.03
O: 0.347 0.100 0.571  0.03
O: 0.847 0.400 0.179  0.03
O: 0.153 0.600 0.679  0.03
O: 0.900 0.653 0.929  0.03
O: 0.100 0.347 0.429  0.03
O: 0.648 0.144 0.792  0.03
O: 0.352 0.856 0.292  0.03
O: 0.644 0.852 0.542  0.03
O: 0.356 0.148 0.042  0.03
O: 0.856 0.352 0.708  0.03
O: 0.144 0.648 0.208  0.03
O: 0.852 0.644 0.458  0.03
O: 0.148 0.356 0.958  0.03
O: 0.677 0.465 0.559  0.01
O: 0.323 0.535 0.059  0.01
O: 0.965 0.823 0.309  0.01
O: 0.035 0.177 0.809  0.01
O: 0.535 0.323 0.941  0.01
O: 0.465 0.677 0.441  0.01
O: 0.823 0.965 0.691  0.01
O: 0.177 0.035 0.191  0.01
O: 0.904 0.142 0.537  0.04
O: 0.096 0.858 0.037  0.04
O: 0.642 0.596 0.287  0.04
O: 0.358 0.404 0.787  0.04
O: 0.858 0.096 0.963  0.04
O: 0.142 0.904 0.463  0.04
O: 0.596 0.642 0.713  0.04
O: 0.404 0.358 0.213  0.04

Values from the calculation:
total magnetic moment = 12.1 μB/cell
energy = -653.3 eV for the cell shown